Below is crystalline HfCrCuRh2 at its relaxed geometry, with properties calculated at the PBE-GGA level.

* DOS(E_F): 3.28 states/eV/f.u.
* total magnetic moment: 4.26 μB/f.u.
* space group: P4/mmm
* electronic total energy: -6.432 eV/atom

The structure in POSCAR format:
```
HfCrCuRh2
1.0
4.714 0.000 0.000
0.000 4.714 0.000
0.000 0.000 4.944
Hf Cr Cu Rh
1 1 1 2
Cartesian
0.000 0.000 0.000
0.000 0.000 2.472
2.357 2.357 2.472
0.000 2.357 0.000
2.357 0.000 0.000
```

=====

Below is crystalline HfCrCuSn2 at its relaxed geometry, with properties calculated at the PBE-GGA level.

* DOS(E_F): 4.77 states/eV/f.u.
* total magnetic moment: 0.00 μB/f.u.
* space group: P4/mmm
* electronic total energy: -5.550 eV/atom

The structure in POSCAR format:
```
HfCrCuSn2
1.0
4.896 0.000 0.000
0.000 4.896 0.000
0.000 0.000 4.533
Hf Cr Cu Sn
1 1 1 2
Cartesian
0.000 0.000 0.000
2.448 2.448 2.267
2.448 2.448 0.000
0.000 2.448 2.267
2.448 0.000 2.267
```

=====

Below is crystalline HfTa2CrCu at its relaxed geometry, with properties calculated at the PBE-GGA level.

* DOS(E_F): 5.08 states/eV/f.u.
* total magnetic moment: 0.00 μB/f.u.
* space group: P4/mmm
* electronic total energy: -8.613 eV/atom

The structure in POSCAR format:
```
HfTa2CrCu
1.0
4.525 0.000 0.000
0.000 4.525 0.000
0.000 0.000 4.611
Hf Ta Cr Cu
1 2 1 1
Cartesian
0.000 0.000 0.000
0.000 2.263 2.305
2.263 0.000 2.305
2.263 2.263 2.305
2.263 2.263 0.000
```

=====

Below is crystalline HfZr2CrCu at its relaxed geometry, with properties calculated at the PBE-GGA level.

* DOS(E_F): 9.91 states/eV/f.u.
* total magnetic moment: 0.01 μB/f.u.
* space group: P4/mmm
* electronic total energy: -6.402 eV/atom

The structure in POSCAR format:
```
HfZr2CrCu
1.0
5.089 0.000 0.000
0.000 5.089 0.000
0.000 0.000 4.657
Hf Zr Cr Cu
1 2 1 1
Cartesian
0.000 0.000 0.000
0.000 2.545 0.000
2.545 0.000 0.000
2.545 2.545 2.329
0.000 0.000 2.329
```

=====

Below is crystalline CrCuHg4 at its relaxed geometry, with properties calculated at the PBE-GGA level.

* DOS(E_F): 2.80 states/eV/f.u.
* total magnetic moment: 4.70 μB/f.u.
* space group: F-43m
* electronic total energy: -1.859 eV/atom

The structure in POSCAR format:
```
CrCuHg4
1.0
0.000 4.085 4.085
4.085 0.000 4.085
4.085 4.085 0.000
Cr Cu Hg
1 1 4
Cartesian
0.000 0.000 0.000
6.128 6.128 6.128
3.064 3.064 3.064
5.106 5.106 3.064
5.106 3.064 5.106
3.064 5.106 5.106
```

=====

Below is crystalline CrCu2Hg at its relaxed geometry, with properties calculated at the PBE-GGA level.

* DOS(E_F): 1.62 states/eV/f.u.
* total magnetic moment: 3.85 μB/f.u.
* space group: Fmmm
* electronic total energy: -4.232 eV/atom

The structure in POSCAR format:
```
CrCu2Hg
1.0
0.000 2.834 3.794
2.825 0.000 3.794
2.825 2.834 0.000
Cr Cu Hg
1 2 1
Cartesian
0.000 0.000 0.000
1.412 1.417 1.897
4.237 4.251 5.691
2.825 2.834 3.794
```

=====

Below is crystalline CrCu2Hg at its relaxed geometry, with properties calculated at the PBE-GGA level.

* DOS(E_F): 1.47 states/eV/f.u.
* total magnetic moment: 3.95 μB/f.u.
* space group: Pm
* electronic total energy: -4.168 eV/atom

The structure in POSCAR format:
```
CrCu2Hg
1.0
2.921 0.000 0.000
0.000 3.981 0.000
-1.021 0.000 5.363
Cr Cu Hg
1 2 1
Cartesian
0.000 0.000 0.000
1.349 1.990 1.132
1.991 0.000 2.453
0.459 1.990 3.767
```

=====

Below is crystalline CrCu2Hg at its relaxed geometry, with properties calculated at the PBE-GGA level.

* DOS(E_F): 1.64 states/eV/f.u.
* total magnetic moment: 3.89 μB/f.u.
* space group: P4/mmm
* electronic total energy: -4.218 eV/atom

The structure in POSCAR format:
```
CrCu2Hg
1.0
3.985 0.000 0.000
0.000 3.985 0.000
0.000 0.000 3.869
Cr Cu Hg
1 2 1
Cartesian
0.000 0.000 0.000
0.000 1.993 1.934
1.993 0.000 1.934
1.993 1.993 0.000
```

=====

What did the eighth record say?
Below is crystalline CrCu2Hg at its relaxed geometry, with properties calculated at the PBE-GGA level.

* DOS(E_F): 1.64 states/eV/f.u.
* total magnetic moment: 3.89 μB/f.u.
* space group: P4/mmm
* electronic total energy: -4.218 eV/atom

The structure in POSCAR format:
```
CrCu2Hg
1.0
3.985 0.000 0.000
0.000 3.985 0.000
0.000 0.000 3.869
Cr Cu Hg
1 2 1
Cartesian
0.000 0.000 0.000
0.000 1.993 1.934
1.993 0.000 1.934
1.993 1.993 0.000
```

=====

- What is the DOS(E_F) in the third record?
  5.08 states/eV/f.u.